No. 1
Here is a geometry-optimized LaNd11 structure from Alexandria via LeMat-Bulk. Energies are from PBE.

Lattice parameters (Å, degrees): 3.608 11.676 11.676 120.00 90.00 90.00
Positions (direct):
Nd 0.500 0.651 0.826
Nd 0.000 0.667 0.333
Nd 0.500 0.826 0.174
Nd 0.500 0.174 0.349
Nd 0.500 0.174 0.826
Nd 0.500 0.349 0.174
Nd 0.000 0.000 0.500
Nd 0.000 0.500 0.000
Nd 0.500 0.826 0.651
Nd 0.000 0.500 0.500
Nd 0.000 0.333 0.667
La 0.000 0.000 0.000

---

No. 2
Here is a geometry-optimized LaNd5 structure from Alexandria via LeMat-Bulk. Energies are from PBE.

Lattice parameters (Å, degrees): 5.225 5.216 8.274 108.37 90.00 90.00
Positions (direct):
Nd 0.500 0.833 0.666
Nd 0.000 0.668 0.336
Nd 0.000 0.332 0.664
Nd 0.500 0.500 0.000
Nd 0.500 0.167 0.334
La 0.000 0.000 0.000

---

No. 3
Here is a geometry-optimized La4Nd3 structure from Alexandria via LeMat-Bulk. Energies are from PBE.

Values from the calculation:
**Energy above the lowest structure with this stoichiometry**: 0.004 eV per atom

Lattice parameters (Å, degrees): 5.255 6.433 8.282 82.66 90.00 114.11
Positions (direct):
La 0.143 0.286 0.571
La 0.570 0.141 0.285
La 0.857 0.714 0.429
La 0.430 0.859 0.715
Nd 0.285 0.569 0.141
Nd 0.000 0.000 0.000
Nd 0.715 0.431 0.859

---

No. 4
Here is a geometry-optimized LaNd7 structure from Alexandria via LeMat-Bulk. Energies are from PBE.

Lattice parameters (Å, degrees): 7.385 7.385 7.385 60.00 60.00 60.00
Positions (direct):
Nd 0.000 0.000 0.500
Nd 0.500 0.500 0.000
Nd 0.000 0.500 0.500
Nd 0.000 0.500 0.000
Nd 0.500 0.000 0.000
Nd 0.500 0.500 0.500
Nd 0.500 0.000 0.500
La 0.000 0.000 0.000

---

Calculated density? In order: 6.726; 6.674; 6.485; 6.698 g/cm3.
Formation energy from the elements? In order: 0.03; 0.01; 0.02; 0.01 eV per atom.